No. 1
A relaxed structure of ZrGaNiRh, computed with PBE.

a b c (Å): 4.429 4.429 4.429
angles (deg): 60.00 60.00 60.00
Positions (direct):
1 Ni 0.250 0.250 0.250
2 Zr 0.000 0.000 0.000
3 Rh 0.750 0.750 0.750
4 Ga 0.500 0.500 0.500

Properties
Total magnetization: 0.00 μB/f.u.
Electronic total energy: -27.274 eV per cell
ΔH_f (0 K): -61.9 kJ per mole of atoms
Excess energy over the best structure of this formula in the dataset: 7.4 meV per atom

***

No. 2
A relaxed structure of GaNi6Ru, computed with PBE.

a b c (Å): 4.425 4.425 5.661
angles (deg): 104.93 104.93 109.91
Each line ends with the local moment (μB).
Positions (direct):
1 Ni 0.248 0.248 0.496  0.34
2 Ni 0.372 0.872 0.744  0.32
3 Ni 0.752 0.752 0.504  0.34
4 Ni 0.872 0.372 0.744  0.32
5 Ni 0.628 0.128 0.256  0.32
6 Ni 0.128 0.628 0.256  0.32
7 Ga 0.500 0.500 0.000  -0.02
8 Ru 0.000 0.000 0.000  0.41

Properties
Total magnetization: 2.26 μB/f.u.
Electronic total energy: -47.536 eV per cell
ΔH_f (0 K): -6.6 kJ per mole of atoms

***

No. 3
A relaxed structure of Ga2Ni2Ru, computed with PBE.

a b c (Å): 2.923 2.952 7.879
angles (deg): 79.20 90.00 90.00
Positions (direct):
1 Ga 0.500 0.602 0.795
2 Ga 0.500 0.398 0.205
3 Ru 0.000 0.000 0.000
4 Ni 0.000 0.187 0.626
5 Ni 0.000 0.813 0.374

Properties
Total magnetization: 0.00 μB/f.u.
Electronic total energy: -27.568 eV per cell
ΔH_f (0 K): -13.0 kJ per mole of atoms
Excess energy over the best structure of this formula in the dataset: 36.6 meV per atom

***

Which of these has the lowest ΔH_f (0 K)?
ZrGaNiRh

***

electronic total energy of number 3 (Ga2Ni2Ru)?
-27.568 eV per cell

***

What is the ΔH_f (0 K) in the first record?
-61.9 kJ per mole of atoms